Entry 1:
A relaxed Ac4CeY3Sb8 crystal, computed with PBE.

a = 9.2241 Å, b = 9.2241 Å, c = 9.2241 Å
α = 60.00°, β = 60.00°, γ = 60.00°
Atoms (fractional coordinates):
Ac: 0.0000 0.0000 0.0000
Ac: 0.0000 0.5000 0.5000
Ac: 0.5000 0.0000 0.5000
Ac: 0.5000 0.5000 0.0000
Ce: 0.5000 0.5000 0.5000
Y: 0.0000 0.0000 0.5000
Y: 0.0000 0.5000 0.0000
Y: 0.5000 0.0000 0.0000
Sb: 0.2408 0.7438 0.7438
Sb: 0.2425 0.2425 0.2425
Sb: 0.2562 0.2562 0.7592
Sb: 0.2562 0.7592 0.2562
Sb: 0.7438 0.2408 0.7438
Sb: 0.7438 0.7438 0.2408
Sb: 0.7575 0.7575 0.7575
Sb: 0.7592 0.2562 0.2562

Computed properties:
Spin magnetization (μB per cell): 0.66
Density of states at the Fermi level (states/eV/cell): 6.5
VASP energy (eV per atom): -5.830
Volume (Å³/atom): 34.68
Raw formation energy (eV/atom): -1.159
SG: R-3m

Entry 2:
A relaxed Ti2HRhW crystal, computed with PBE.

a = 4.3728 Å, b = 4.3728 Å, c = 3.3863 Å
α = 90.00°, β = 90.00°, γ = 90.00°
Atoms (fractional coordinates):
Ti: 0.0000 0.5000 0.0000
Ti: 0.5000 0.0000 0.0000
H: 0.0000 0.0000 0.0000
Rh: 0.0000 0.0000 0.5000
W: 0.5000 0.5000 0.5000

Computed properties:
Spin magnetization (μB per cell): 0.00
Density of states at the Fermi level (states/eV/cell): 3.8
VASP energy (eV per atom): -8.193
Volume (Å³/atom): 12.95
SG: P4/mmm

Among the records above, which one has the lowest spin magnetization?
Ti2HRhW

The highest volume belongs to which entry?
Ac4CeY3Sb8

Among the records above, which one has the highest density of states at the Fermi level?
Ac4CeY3Sb8